[1]
VASP calculation (PBE-GGA) on an optimized crystal structure of GaSi.

Cell and atoms, written as POSCAR:
```
GaSi
1.0
2.731 0.000 0.000
1.273 3.496 0.000
1.301 0.285 3.546
Ga Si
1 1
Cartesian
0.000 0.000 0.000
2.653 1.891 1.773
```

## Properties
- energy (eV per atom) = -3.9701
- space-group type = P-1, No. 2

[2]
VASP calculation (PBE-GGA) on an optimized crystal structure of GaSi3.

Cell and atoms, written as POSCAR:
```
GaSi3
1.0
3.917 0.000 0.000
-1.956 5.669 0.000
-0.027 -1.291 6.458
Ga Si
2 6
Cartesian
-0.004 2.042 0.506
1.938 2.336 5.953
-0.015 -0.259 4.384
-0.011 2.121 3.936
-0.013 4.305 5.254
1.947 0.073 1.205
1.945 2.257 2.523
1.949 4.637 2.075
```

## Properties
- energy (eV per atom) = -4.6085
- space-group type = P-1, No. 2

[3]
VASP calculation (PBE-GGA) on an optimized crystal structure of GaSi.

Cell and atoms, written as POSCAR:
```
GaSi
1.0
0.000 4.215 6.214
4.199 0.000 6.214
4.199 4.215 0.000
Ga Si
4 4
Cartesian
3.149 3.161 0.659
5.249 5.269 3.766
3.149 3.161 8.663
5.249 5.269 11.770
3.149 0.183 4.661
5.249 2.290 7.768
3.149 6.140 4.661
5.249 8.247 7.768
```

## Properties
- energy (eV per atom) = -3.8672
- space-group type = Fddd, No. 70

[4]
VASP calculation (PBE-GGA) on an optimized crystal structure of Ga3Si2.

Cell and atoms, written as POSCAR:
```
Ga3Si2
1.0
3.308 1.910 5.128
-3.308 1.910 5.128
0.000 -3.820 5.128
Ga Si
6 4
Cartesian
-2.417 -0.367 6.410
-0.891 -2.277 8.974
1.527 -1.910 6.410
-1.527 1.910 8.974
0.891 2.277 6.410
2.417 0.367 8.974
0.000 0.000 1.858
0.000 0.000 5.833
0.000 0.000 9.550
0.000 0.000 13.525
```

## Properties
- energy (eV per atom) = -3.7745
- space-group type = R-3c, No. 167

[5]
VASP calculation (PBE-GGA) on an optimized crystal structure of GaSi3.

Cell and atoms, written as POSCAR:
```
GaSi3
1.0
5.633 0.000 0.000
-1.754 5.627 0.000
-1.883 -2.847 4.832
Ga Si
2 6
Cartesian
0.398 -1.398 2.403
1.598 4.178 2.428
-2.305 0.544 3.907
0.539 0.878 1.454
2.418 1.111 0.019
-0.422 1.669 4.812
1.457 1.902 3.378
4.301 2.237 0.925
```

## Properties
- energy (eV per atom) = -4.6416
- space-group type = P-1, No. 2

[6]
VASP calculation (PBE-GGA) on an optimized crystal structure of GaSi3.

Cell and atoms, written as POSCAR:
```
GaSi3
1.0
5.454 0.000 0.000
2.652 5.009 0.000
1.591 1.740 5.183
Ga Si
2 6
Cartesian
2.417 2.603 1.408
7.281 4.146 3.775
5.238 6.469 4.576
4.329 5.050 2.919
4.472 2.926 4.191
5.225 3.823 0.992
5.369 1.700 2.264
4.459 0.281 0.606
```

## Properties
- energy (eV per atom) = -4.5769
- space-group type = P-1, No. 2

[7]
VASP calculation (PBE-GGA) on an optimized crystal structure of GaSi.

Cell and atoms, written as POSCAR:
```
GaSi
1.0
7.743 0.000 0.000
0.000 7.743 0.000
0.000 0.000 7.743
Ga Si
8 8
Cartesian
1.267 1.267 6.476
1.267 6.476 1.267
2.605 2.605 2.605
2.605 5.139 5.139
5.139 2.605 5.139
5.139 5.139 2.605
6.476 1.267 1.267
6.476 6.476 6.476
1.230 1.230 1.230
1.230 6.513 6.513
2.641 2.641 5.102
2.641 5.102 2.641
5.102 2.641 2.641
5.102 5.102 5.102
6.513 1.230 6.513
6.513 6.513 1.230
```

## Properties
- energy (eV per atom) = -3.7367
- space-group type = I-43m, No. 217

[8]
VASP calculation (PBE-GGA) on an optimized crystal structure of GaSi.

Cell and atoms, written as POSCAR:
```
GaSi
1.0
6.381 0.000 0.000
0.000 6.381 0.000
0.000 0.000 4.338
Ga Si
4 4
Cartesian
1.549 1.549 0.000
1.642 4.740 2.169
4.740 1.642 2.169
4.832 4.832 0.000
0.893 5.488 0.000
2.298 2.298 2.169
4.084 4.084 2.169
5.488 0.893 0.000
```

## Properties
- energy (eV per atom) = -3.9856
- space-group type = P4_2/mnm, No. 136

Number 1: DOS(E_F) 0.77 states/eV/cell, ΔE_f (raw) 0.51 eV per formula unit. Number 2: DOS(E_F) 2.21 states/eV/cell, ΔE_f (raw) 0.86 eV per formula unit. Number 3: DOS(E_F) 1.25 states/eV/cell, ΔE_f (raw) 0.72 eV per formula unit. Number 4: DOS(E_F) 3.59 states/eV/cell, ΔE_f (raw) 1.05 eV per formula unit. Number 5: DOS(E_F) 2.31 states/eV/cell, ΔE_f (raw) 0.73 eV per formula unit. Number 6: DOS(E_F) 2.14 states/eV/cell, ΔE_f (raw) 0.99 eV per formula unit. Number 7: DOS(E_F) 8.51 states/eV/cell, ΔE_f (raw) 0.98 eV per formula unit. Number 8: DOS(E_F) 1.79 states/eV/cell, ΔE_f (raw) 0.48 eV per formula unit.